Entry from the Alexandria database: crystalline Hf2RuRhAu at its relaxed geometry (PBE).

Cell: 4.9095 4.9095 4.6467 Å, 90.00 90.00 90.00°
Last column: nearest neighbours and their distance in Å.
Space group P4/mmm (No. 123)
One atom of each set of equivalent atoms:
Hf (0.0000, 0.5000, 0.0000) [2 per cell]  2 Ru 2.45
Ru (0.0000, 0.0000, 0.0000) [1 per cell]  2 Rh 2.32, 4 Hf 2.45
Rh (0.0000, 0.0000, 0.5000) [1 per cell]  2 Ru 2.32
Au (0.5000, 0.5000, 0.5000) [1 per cell]  8 Hf 3.38, 4 Rh 3.47

Values from the calculation:
* ΔE_f: 0.48 eV/atom
* size of the total moment: 0.00 μB per cell
* final energy: -7.482 eV/atom
* calculated density: 11.2 g/cm3